First-principles (PBE-GGA) data for a geometry-optimized Zr4Te3 structure, as listed in OQMD via LeMat-Bulk.

Final energy   -6.701 eV/atom

Lattice parameters (Å, degrees): 8.5608 8.5608 5.2484 90.00 90.00 120.00
Space group P6_3/m (No. 176)
Symmetry-distinct sites (fractional):
Zr 0.0490 0.8093 0.2500 x6
Zr 0.3333 0.6667 0.2500 x2
Te 0.0766 0.6430 0.7500 x6

=====

First-principles (PBE-GGA) data for a geometry-optimized Zr2Te structure, as listed in OQMD via LeMat-Bulk.

Final energy   -7.076 eV/atom

Lattice parameters (Å, degrees): 5.6489 5.6489 4.9757 90.00 90.00 120.00
Space group P-62m (No. 189)
Symmetry-distinct sites (fractional):
Zr 0.0000 0.0000 0.0000 x1
Zr 0.0000 0.3378 0.5000 x3
Te 0.3333 0.6667 0.0000 x2

=====

First-principles (PBE-GGA) data for a geometry-optimized Zr2Te3 structure, as listed in OQMD via LeMat-Bulk.

Final energy   -6.206 eV/atom

Lattice parameters (Å, degrees): 6.9650 6.9650 20.3741 90.00 90.00 120.00
Space group R-3 (No. 148, hexagonal axes)
Symmetry-distinct sites (fractional):
Zr 0.0000 0.0000 0.0000 x3
Zr 0.0000 0.0000 0.1604 x6
Zr 0.0000 0.0000 0.5000 x3
Te 0.0033 0.6529 0.9219 x18

=====

First-principles (PBE-GGA) data for a geometry-optimized Th structure, as listed in OQMD via LeMat-Bulk.

Final energy   -7.375 eV/atom

Lattice parameters (Å, degrees): 3.5591 3.5591 26.5829 90.00 90.00 120.00
Space group R-3m (No. 166, hexagonal axes)
Symmetry-distinct sites (fractional):
Th 0.0000 0.0000 0.0000 x3
Th 0.0000 0.0000 0.2222 x6

=====

First-principles (PBE-GGA) data for a geometry-optimized Th structure, as listed in OQMD via LeMat-Bulk.

Final energy   -7.411 eV/atom

Lattice parameters (Å, degrees): 3.5633 3.5633 8.6860 90.00 90.00 120.00
Space group R-3m (No. 166, hexagonal axes)
Symmetry-distinct sites (fractional):
Th 0.0000 0.0000 0.0000 x3

=====

First-principles (PBE-GGA) data for a geometry-optimized Th structure, as listed in OQMD via LeMat-Bulk.

Final energy   -7.412 eV/atom

Lattice parameters (Å, degrees): 3.5701 3.5701 4.9898 90.00 90.00 90.00
Space group I4/mmm (No. 139)
Symmetry-distinct sites (fractional):
Th 0.0000 0.0000 0.0000 x2

=====

First-principles (PBE-GGA) data for a geometry-optimized Th structure, as listed in OQMD via LeMat-Bulk.

Final energy   -7.310 eV/atom

Lattice parameters (Å, degrees): 8.6901 8.6901 8.6901 90.00 90.00 90.00
Space group P4_132 (No. 213)
Symmetry-distinct sites (fractional):
Th 0.0482 0.1250 0.7982 x12
Th 0.0670 0.9330 0.4330 x8

=====

First-principles (PBE-GGA) data for a geometry-optimized Th structure, as listed in OQMD via LeMat-Bulk.

Final energy   -6.107 eV/atom

Lattice parameters (Å, degrees): 5.0797 5.0797 5.8650 90.00 90.00 120.00
Space group P6_3/mmc (No. 194)
Symmetry-distinct sites (fractional):
Th 0.0000 0.0000 0.2500 x2
Th 0.3333 0.6667 0.2500 x2

=====

First-principles (PBE-GGA) data for a geometry-optimized Th structure, as listed in OQMD via LeMat-Bulk.

Final energy   -7.281 eV/atom

Lattice parameters (Å, degrees): 6.4017 6.4017 6.4017 90.00 90.00 90.00
Space group Pm-3n (No. 223)
Symmetry-distinct sites (fractional):
Th 0.0000 0.0000 0.0000 x2
Th 0.0000 0.2500 0.5000 x6

=====

First-principles (PBE-GGA) data for a geometry-optimized Th structure, as listed in OQMD via LeMat-Bulk.

Final energy   -7.316 eV/atom

Lattice parameters (Å, degrees): 12.3812 12.3812 12.3812 90.00 90.00 90.00
Space group I-43m (No. 217)
Symmetry-distinct sites (fractional):
Th 0.0000 0.0000 0.0000 x2
Th 0.0327 0.3554 0.6446 x24
Th 0.0911 0.0911 0.7207 x24
Th 0.1848 0.1848 0.1848 x8

=====

First-principles (PBE-GGA) data for a geometry-optimized Th structure, as listed in OQMD via LeMat-Bulk.

Final energy   -7.268 eV/atom

Lattice parameters (Å, degrees): 4.0209 4.0209 4.0209 90.00 90.00 90.00
Space group Im-3m (No. 229)
Symmetry-distinct sites (fractional):
Th 0.0000 0.0000 0.0000 x2

=====

First-principles (PBE-GGA) data for a geometry-optimized Th structure, as listed in OQMD via LeMat-Bulk.

Final energy   -7.412 eV/atom

Lattice parameters (Å, degrees): 5.0426 5.0426 5.0426 90.00 90.00 90.00
Space group Fm-3m (No. 225)
Symmetry-distinct sites (fractional):
Th 0.0000 0.0000 0.0000 x4